No. 1
This record from the Alexandria database describes crystalline HfScW2 at its relaxed geometry. The functional is GGA-PBEsol.

Cell and atoms, written as POSCAR:
```
HfScW2
1.0
4.642 0.000 0.000
2.321 4.020 0.000
2.321 1.340 3.790
Hf W Sc
1 2 1
direct
0.500 0.500 0.500
0.750 0.750 0.750
0.250 0.250 0.250
0.000 0.000 0.000
```

Results
* calculated volume: 70.7 Å³/cell
* density: 13.9 g/cm³
* symmetry: No. 225
* formation energy from the elements: 398 meV per atom

No. 2
This record from the Alexandria database describes crystalline BeBAsIr2 at its relaxed geometry. The functional is GGA-PBEsol.

Cell and atoms, written as POSCAR:
```
BeBAsIr2
1.0
-1.031 2.097 -2.928
-3.368 -2.984 -0.951
-2.864 2.370 2.706
As B Ir Be
1 1 2 1
direct
0.000 0.000 0.000
0.500 0.000 0.000
0.000 0.500 0.000
0.000 0.000 0.500
0.500 0.500 0.500
```

Results
* calculated volume: 79.2 Å³/cell
* density: 10.0 g/cm³
* symmetry: No. 123
* formation energy from the elements: 1597 meV per atom

No. 3
This record from the Alexandria database describes crystalline Fe4Tc3 at its relaxed geometry. The functional is GGA-PBEsol.

Cell and atoms, written as POSCAR:
```
Fe4Tc3
1.0
2.864 0.000 0.000
0.000 2.864 0.000
-1.432 -1.432 10.428
Tc Fe
3 4
direct
0.710 0.710 0.419
0.290 0.290 0.581
0.000 0.000 0.000
0.865 0.865 0.729
0.135 0.135 0.271
0.573 0.573 0.145
0.427 0.427 0.855
```

Results
* calculated volume: 85.5 Å³/cell
* density: 10.0 g/cm³
* symmetry: No. 139
* formation energy from the elements: 95 meV per atom

No. 4
This record from the Alexandria database describes crystalline Nd3Ga2Ni6 at its relaxed geometry. The functional is GGA-PBEsol.

Cell and atoms, written as POSCAR:
```
Nd3Ga2Ni6
1.0
-2.002 5.441 5.070
2.944 -6.047 3.752
5.272 2.826 -4.851
Ga Ni Nd
4 12 6
direct
0.500 0.500 0.500
0.000 0.500 0.000
0.500 0.000 0.000
0.000 0.000 0.500
0.662 0.338 0.000
0.662 0.662 0.324
0.338 0.000 0.662
0.662 0.000 0.338
0.000 0.338 0.662
0.676 0.338 0.338
0.000 0.662 0.338
0.338 0.676 0.338
0.324 0.662 0.662
0.338 0.662 0.000
0.338 0.338 0.676
0.662 0.324 0.662
0.000 0.713 0.713
0.000 0.287 0.287
0.713 0.713 0.000
0.287 0.287 0.000
0.713 0.000 0.713
0.287 0.000 0.287
```

Results
* calculated volume: 351.6 Å³/cell
* density: 8.7 g/cm³
* symmetry: No. 229
* formation energy from the elements: -473 meV per atom

No. 5
This record from the Alexandria database describes crystalline GaAuI2 at its relaxed geometry. The functional is GGA-PBEsol.

Cell and atoms, written as POSCAR:
```
GaAuI2
1.0
-2.685 -0.313 4.521
-4.471 -2.775 0.221
-0.152 -4.541 2.664
Ga I Au
1 2 1
direct
0.000 0.000 0.000
0.750 0.750 0.750
0.250 0.250 0.250
0.500 0.500 0.500
```

Results
* calculated volume: 103.3 Å³/cell
* formation energy (no corrections): 161 meV/atom
* density: 8.4 g/cm³
* symmetry: No. 225

No. 6
This record from the Alexandria database describes crystalline Y2MgSi2 at its relaxed geometry. The functional is GGA-PBEsol.

Cell and atoms, written as POSCAR:
```
Y2MgSi2
1.0
-1.573 0.699 -3.782
2.711 -6.187 -2.271
-6.013 -3.328 1.886
Mg Y Si
2 4 4
direct
0.000 0.000 0.000
0.000 0.500 0.500
0.500 0.678 0.178
0.500 0.178 0.322
0.500 0.822 0.678
0.500 0.322 0.822
0.000 0.882 0.382
0.000 0.618 0.882
0.000 0.118 0.618
0.000 0.382 0.118
```

Results
* calculated volume: 211.0 Å³/cell
* formation energy (no corrections): -786 meV/atom
* density: 4.1 g/cm³
* symmetry: No. 127

No. 7
This record from the Alexandria database describes crystalline Os3SeI at its relaxed geometry. The functional is GGA-PBEsol.

Cell and atoms, written as POSCAR:
```
Os3SeI
1.0
4.579 0.000 0.000
0.000 4.579 0.000
0.000 0.000 4.579
Os I Se
3 1 1
direct
0.500 0.000 0.000
0.000 0.000 0.500
0.000 0.500 0.000
0.500 0.500 0.500
0.000 0.000 0.000
```

Results
* calculated volume: 96.0 Å³/cell
* formation energy (no corrections): 2132 meV/atom
* density: 13.4 g/cm³
* symmetry: No. 221

No. 8
This record from the Alexandria database describes crystalline Y4CdPt at its relaxed geometry. The functional is GGA-PBEsol.

Cell and atoms, written as POSCAR:
```
Y4CdPt
1.0
-8.182 2.672 4.135
-1.992 -2.818 8.903
0.108 6.330 7.148
Cd Y Pt
4 16 4
direct
0.419 0.419 0.744
0.744 0.419 0.419
0.419 0.419 0.419
0.419 0.744 0.419
0.064 0.436 0.436
0.809 0.809 0.191
0.647 0.647 0.058
0.191 0.191 0.809
0.436 0.064 0.436
0.058 0.647 0.647
0.647 0.647 0.647
0.809 0.191 0.191
0.436 0.436 0.064
0.809 0.191 0.809
0.191 0.809 0.191
0.647 0.058 0.647
0.191 0.809 0.809
0.436 0.064 0.064
0.064 0.064 0.436
0.064 0.436 0.064
0.857 0.430 0.857
0.857 0.857 0.857
0.430 0.857 0.857
0.857 0.857 0.430
```

Results
* calculated volume: 615.6 Å³/cell
* density: 7.2 g/cm³
* symmetry: No. 216
* formation energy from the elements: -621 meV per atom

No. 9
This record from the Alexandria database describes crystalline LiSb2 at its relaxed geometry. The functional is GGA-PBEsol.

Cell and atoms, written as POSCAR:
```
LiSb2
1.0
3.870 0.000 0.000
0.000 3.870 0.000
-1.935 -1.935 10.384
Sb Li
4 2
direct
0.574 0.574 0.149
0.426 0.426 0.851
0.676 0.176 0.351
0.824 0.324 0.649
0.000 0.000 0.000
0.250 0.750 0.500
```

Results
* calculated volume: 155.5 Å³/cell
* formation energy (no corrections): -95 meV/atom
* density: 5.3 g/cm³
* symmetry: No. 141

No. 10
This record from the Alexandria database describes crystalline Co2SbSe at its relaxed geometry. The functional is GGA-PBEsol.

Cell and atoms, written as POSCAR:
```
Co2SbSe
1.0
3.336 0.000 0.000
-1.668 3.313 0.020
0.000 -1.921 5.572
Co Sb Se
2 1 1
direct
0.255 0.510 0.321
0.745 0.490 0.679
0.500 0.000 0.000
0.000 0.000 0.500
```

Results
* calculated volume: 61.7 Å³/cell
* formation energy (no corrections): 79 meV/atom
* density: 8.6 g/cm³
* symmetry: No. 12

No. 11
This record from the Alexandria database describes crystalline La3WC at its relaxed geometry. The functional is GGA-PBEsol.

Cell and atoms, written as POSCAR:
```
La3WC
1.0
5.310 0.000 0.000
0.000 5.310 0.000
0.000 0.000 5.310
La W C
3 1 1
direct
0.000 0.500 0.000
0.000 0.000 0.500
0.500 0.000 0.000
0.000 0.000 0.000
0.500 0.500 0.500
```

Results
* calculated volume: 149.7 Å³/cell
* density: 6.8 g/cm³
* symmetry: No. 221
* formation energy from the elements: 1518 meV per atom

No. 12
This record from the Alexandria database describes crystalline Ni2AsOs at its relaxed geometry. The functional is GGA-PBEsol.

Cell and atoms, written as POSCAR:
```
Ni2AsOs
1.0
-2.393 -0.280 -2.693
0.596 -3.560 -0.160
-2.735 -0.570 2.489
As Os Ni
1 1 2
direct
0.000 0.000 0.500
0.500 0.500 0.500
0.000 0.500 0.000
0.500 0.000 0.000
```

Results
* calculated volume: 48.9 Å³/cell
* density: 13.0 g/cm³
* symmetry: No. 123
* formation energy from the elements: 120 meV per atom